No. 1
CdFePt2: optimized geometry, GGA-PBE.

```
data_CdFePt2
_chemical_formula_sum 'Cd1 Fe1 Pt2'
_symmetry_space_group_name_H-M 'P 1'
_symmetry_Int_Tables_number 1
_cell_length_a 9.233
_cell_length_b 9.233
_cell_length_c 9.233
_cell_angle_alpha 17.70
_cell_angle_beta 17.70
_cell_angle_gamma 17.70
loop_
_symmetry_equiv_pos_as_xyz
'x,y,z'
loop_
_atom_site_label
_atom_site_type_symbol
_atom_site_fract_x
_atom_site_fract_y
_atom_site_fract_z
_atom_site_occupancy
Cd1 Cd 0.000 0.000 0.000 1
Fe1 Fe 0.500 0.500 0.500 1
Pt1 Pt 0.243 0.243 0.243 1
Pt2 Pt 0.757 0.757 0.757 1
```

crystal system: trigonal
space-group type: No. 166
ΔE_f: -0.153 eV/atom
mass density: 14.60 g/cm3
raw total energy: -5.518 eV per atom
calculated volume: 15.9 Å³ per atom


No. 2
Hf2PaGe: optimized geometry, GGA-PBE.

```
data_Hf2PaGe
_chemical_formula_sum 'Hf2 Pa1 Ge1'
_symmetry_space_group_name_H-M 'P 1'
_symmetry_Int_Tables_number 1
_cell_length_a 9.773
_cell_length_b 9.773
_cell_length_c 9.773
_cell_angle_alpha 19.20
_cell_angle_beta 19.20
_cell_angle_gamma 19.20
loop_
_symmetry_equiv_pos_as_xyz
'x,y,z'
loop_
_atom_site_label
_atom_site_type_symbol
_atom_site_fract_x
_atom_site_fract_y
_atom_site_fract_z
_atom_site_occupancy
Hf1 Hf 0.242 0.242 0.242 1
Hf2 Hf 0.758 0.758 0.758 1
Pa1 Pa 0.000 0.000 0.000 1
Ge1 Ge 0.500 0.500 0.500 1
```

crystal system: trigonal
space-group type: No. 166
ΔE_f: -0.057 eV/atom
mass density: 12.43 g/cm3
raw total energy: -8.562 eV per atom
calculated volume: 22.1 Å³ per atom


No. 3
LaAg2As: optimized geometry, GGA-PBE.

```
data_LaAg2As
_chemical_formula_sum 'La1 Ag2 As1'
_symmetry_space_group_name_H-M 'P 1'
_symmetry_Int_Tables_number 1
_cell_length_a 3.251
_cell_length_b 4.061
_cell_length_c 6.893
_cell_angle_alpha 90.00
_cell_angle_beta 90.00
_cell_angle_gamma 90.00
loop_
_symmetry_equiv_pos_as_xyz
'x,y,z'
loop_
_atom_site_label
_atom_site_type_symbol
_atom_site_fract_x
_atom_site_fract_y
_atom_site_fract_z
_atom_site_occupancy
La1 La 0.000 0.000 0.000 1
Ag1 Ag 0.000 0.000 0.504 1
Ag2 Ag 0.500 0.500 0.328 1
As1 As 0.500 0.500 0.754 1
```

crystal system: orthorhombic
space-group type: No. 25
ΔE_f: -0.294 eV/atom
mass density: 7.84 g/cm3
raw total energy: -4.114 eV per atom
calculated volume: 22.8 Å³ per atom


No. 4
Tb2TmScTe5: optimized geometry, GGA-PBE.

```
data_Tb2TmScTe5
_chemical_formula_sum 'Tb2 Tm1 Sc1 Te5'
_symmetry_space_group_name_H-M 'P 1'
_symmetry_Int_Tables_number 1
_cell_length_a 5.510
_cell_length_b 5.510
_cell_length_c 11.043
_cell_angle_alpha 90.00
_cell_angle_beta 90.00
_cell_angle_gamma 90.00
loop_
_symmetry_equiv_pos_as_xyz
'x,y,z'
loop_
_atom_site_label
_atom_site_type_symbol
_atom_site_fract_x
_atom_site_fract_y
_atom_site_fract_z
_atom_site_occupancy
Tb1 Tb 0.000 0.000 0.166 1
Tb2 Tb 0.000 0.000 0.834 1
Tm1 Tm 0.500 0.500 0.000 1
Sc1 Sc 0.500 0.500 0.500 1
Te1 Te 0.000 0.000 0.500 1
Te2 Te 0.000 0.500 0.000 1
Te3 Te 0.500 0.000 0.000 1
Te4 Te 0.500 0.500 0.260 1
Te5 Te 0.500 0.500 0.740 1
```

crystal system: tetragonal
space-group type: No. 123
formation energy without anion corrections: -633 meV/atom
mass density: 5.79 g/cm3
raw total energy: -4.608 eV per atom
calculated volume: 37.3 Å³ per atom


No. 5
Nd2GaAu: optimized geometry, GGA-PBE.

```
data_Nd2GaAu
_chemical_formula_sum 'Nd2 Ga1 Au1'
_symmetry_space_group_name_H-M 'P 1'
_symmetry_Int_Tables_number 1
_cell_length_a 3.667
_cell_length_b 3.667
_cell_length_c 7.602
_cell_angle_alpha 90.00
_cell_angle_beta 90.00
_cell_angle_gamma 90.00
loop_
_symmetry_equiv_pos_as_xyz
'x,y,z'
loop_
_atom_site_label
_atom_site_type_symbol
_atom_site_fract_x
_atom_site_fract_y
_atom_site_fract_z
_atom_site_occupancy
Nd1 Nd 0.000 0.000 0.249 1
Nd2 Nd 0.000 0.000 0.751 1
Ga1 Ga 0.500 0.500 0.000 1
Au1 Au 0.500 0.500 0.500 1
```

crystal system: tetragonal
space-group type: No. 123
ΔE_f: -0.650 eV/atom
mass density: 9.02 g/cm3
raw total energy: -4.610 eV per atom
calculated volume: 25.6 Å³ per atom


No. 6
Cs3LaIn: optimized geometry, GGA-PBE.

```
data_Cs3LaIn
_chemical_formula_sum 'Cs3 La1 In1'
_symmetry_space_group_name_H-M 'P 1'
_symmetry_Int_Tables_number 1
_cell_length_a 7.288
_cell_length_b 7.288
_cell_length_c 7.288
_cell_angle_alpha 90.00
_cell_angle_beta 90.00
_cell_angle_gamma 90.00
loop_
_symmetry_equiv_pos_as_xyz
'x,y,z'
loop_
_atom_site_label
_atom_site_type_symbol
_atom_site_fract_x
_atom_site_fract_y
_atom_site_fract_z
_atom_site_occupancy
Cs1 Cs 0.000 0.000 0.500 1
Cs2 Cs 0.000 0.500 0.000 1
Cs3 Cs 0.500 0.000 0.000 1
La1 La 0.000 0.000 0.000 1
In1 In 0.500 0.500 0.500 1
```

crystal system: cubic
space-group type: No. 221
ΔE_f: 0.851 eV/atom
mass density: 2.80 g/cm3
raw total energy: -1.194 eV per atom
calculated volume: 77.4 Å³ per atom


No. 7
Li2Zr2UTe6: optimized geometry, GGA-PBE.

```
data_Li2Zr2UTe6
_chemical_formula_sum 'Li2 Zr2 U1 Te6'
_symmetry_space_group_name_H-M 'P 1'
_symmetry_Int_Tables_number 1
_cell_length_a 7.114
_cell_length_b 7.114
_cell_length_c 7.573
_cell_angle_alpha 98.87
_cell_angle_beta 98.87
_cell_angle_gamma 119.95
loop_
_symmetry_equiv_pos_as_xyz
'x,y,z'
loop_
_atom_site_label
_atom_site_type_symbol
_atom_site_fract_x
_atom_site_fract_y
_atom_site_fract_z
_atom_site_occupancy
Li1 Li 0.162 0.838 0.000 1
Li2 Li 0.838 0.162 0.000 1
Zr1 Zr 0.334 0.666 0.500 1
Zr2 Zr 0.666 0.334 0.500 1
U1 U 0.000 0.000 0.500 1
Te1 Te 0.084 0.428 0.752 1
Te2 Te 0.264 0.264 0.247 1
Te3 Te 0.428 0.084 0.752 1
Te4 Te 0.572 0.916 0.248 1
Te5 Te 0.736 0.736 0.753 1
Te6 Te 0.916 0.572 0.248 1
```

crystal system: monoclinic
space-group type: No. 12
formation energy without anion corrections: -850 meV/atom
mass density: 6.31 g/cm3
raw total energy: -5.492 eV per atom
calculated volume: 28.7 Å³ per atom


No. 8
K2Fe2S3: optimized geometry, GGA-PBE.

```
data_K2Fe2S3
_chemical_formula_sum 'K2 Fe2 S3'
_symmetry_space_group_name_H-M 'P 1'
_symmetry_Int_Tables_number 1
_cell_length_a 6.516
_cell_length_b 6.516
_cell_length_c 7.834
_cell_angle_alpha 119.67
_cell_angle_beta 119.67
_cell_angle_gamma 34.64
loop_
_symmetry_equiv_pos_as_xyz
'x,y,z'
loop_
_atom_site_label
_atom_site_type_symbol
_atom_site_fract_x
_atom_site_fract_y
_atom_site_fract_z
_atom_site_occupancy
K1 K 0.069 0.069 0.344 1
K2 K 0.931 0.931 0.656 1
Fe1 Fe 0.298 0.298 0.936 1
Fe2 Fe 0.702 0.702 0.064 1
S1 S 0.309 0.309 0.248 1
S2 S 0.500 0.500 0.000 1
S3 S 0.691 0.691 0.752 1
```

crystal system: monoclinic
space-group type: No. 12
formation energy without anion corrections: -707 meV/atom
mass density: 2.94 g/cm3
raw total energy: -5.208 eV per atom
calculated volume: 23.1 Å³ per atom


No. 9
K2Ce2ZnSe6: optimized geometry, GGA-PBE.

```
data_K2Ce2ZnSe6
_chemical_formula_sum 'K2 Ce2 Zn1 Se6'
_symmetry_space_group_name_H-M 'P 1'
_symmetry_Int_Tables_number 1
_cell_length_a 7.447
_cell_length_b 7.447
_cell_length_c 8.157
_cell_angle_alpha 97.49
_cell_angle_beta 97.49
_cell_angle_gamma 123.85
loop_
_symmetry_equiv_pos_as_xyz
'x,y,z'
loop_
_atom_site_label
_atom_site_type_symbol
_atom_site_fract_x
_atom_site_fract_y
_atom_site_fract_z
_atom_site_occupancy
K1 K 0.158 0.842 0.000 1
K2 K 0.842 0.158 0.000 1
Ce1 Ce 0.334 0.666 0.500 1
Ce2 Ce 0.666 0.334 0.500 1
Zn1 Zn 0.000 0.000 0.500 1
Se1 Se 0.058 0.419 0.705 1
Se2 Se 0.232 0.232 0.325 1
Se3 Se 0.419 0.058 0.705 1
Se4 Se 0.581 0.942 0.295 1
Se5 Se 0.768 0.768 0.675 1
Se6 Se 0.942 0.581 0.295 1
```

crystal system: monoclinic
space-group type: No. 12
formation energy without anion corrections: -1325 meV/atom
mass density: 4.13 g/cm3
raw total energy: -4.620 eV per atom
calculated volume: 32.8 Å³ per atom


No. 10
Be2RePb: optimized geometry, GGA-PBE.

```
data_Be2RePb
_chemical_formula_sum 'Be2 Re1 Pb1'
_symmetry_space_group_name_H-M 'P 1'
_symmetry_Int_Tables_number 1
_cell_length_a 3.078
_cell_length_b 3.390
_cell_length_c 6.060
_cell_angle_alpha 90.00
_cell_angle_beta 90.09
_cell_angle_gamma 90.00
loop_
_symmetry_equiv_pos_as_xyz
'x,y,z'
loop_
_atom_site_label
_atom_site_type_symbol
_atom_site_fract_x
_atom_site_fract_y
_atom_site_fract_z
_atom_site_occupancy
Be1 Be 0.000 0.000 0.000 1
Be2 Be 0.000 0.500 0.208 1
Re1 Re 0.500 0.500 0.909 1
Pb1 Pb 0.992 0.000 0.562 1
```

crystal system: monoclinic
space-group type: No. 6
ΔE_f: 0.517 eV/atom
mass density: 10.81 g/cm3
raw total energy: -5.385 eV per atom
calculated volume: 15.8 Å³ per atom